# Li2CaSN

A geometry-optimized Li2CaSN structure (PBE, Alexandria via LeMat-Bulk).

The calculated volume comes out at 15.52 Å³/atom. For the formation energy (no corrections), the calculation gives -0.83 eV/atom. The density of states at the Fermi level comes out at 0.334 states/eV per atom.

The structure belongs to space group P4/mmm (No. 123); the cell edges are 4.0534, 4.0534 and 4.7226 Å and the angles 90.00°, 90.00° and 90.00°. The asymmetric unit holds Li at (0.0000, 0.5000, 0.0000), Ca at (0.0000, 0.0000, 0.5000), S at (0.5000, 0.5000, 0.5000) and N at (0.0000, 0.0000, 0.0000).

# Zr2ZnAs2

A geometry-optimized Zr2ZnAs2 structure (PBE, Alexandria via LeMat-Bulk).

For the formation energy, the calculation gives -0.4243 eV/atom. The calculated volume comes out at 22.78 Å³/atom. The density of states at the Fermi level comes out at 0.252 states/eV per atom.

The structure belongs to space group I4/mmm (No. 139); the cell edges are 4.6458, 4.6458 and 10.5565 Å and the angles 90.00°, 90.00° and 90.00°. The asymmetric unit holds Zr at (0.0000, 0.5000, 0.2500), Zn at (0.0000, 0.0000, 0.0000) and As at (0.0000, 0.0000, 0.3785).

# PmNd5Sm3

A geometry-optimized PmNd5Sm3 structure (PBE, Alexandria via LeMat-Bulk).

The energy above the lowest structure with this stoichiometry comes out at 283.8 meV per atom. For the formation energy, the calculation gives 0.5428 eV/atom. The calculated volume comes out at 39.31 Å³/atom. The density of states at the Fermi level comes out at 1.565 states/eV per atom.

The structure belongs to space group C2/m (No. 12); the cell edges are 11.5762, 11.5157 and 11.8548 Å and the angles 90.00°, 116.42° and 90.00°. The asymmetric unit holds Pm at (0.0899, 0.0000, 0.2947), Nd at (0.0000, 0.2564, 0.5000), Nd at (0.0302, 0.5000, 0.8825), Nd at (0.1925, 0.5000, 0.4052), Nd at (0.2017, 0.2354, 0.1451), Sm at (0.0000, 0.0000, 0.0000), Sm at (0.0000, 0.0000, 0.5000), Sm at (0.1213, 0.5000, 0.6585) and Sm at (0.2078, 0.0000, 0.8464).

# SrCaVPd2

A geometry-optimized SrCaVPd2 structure (PBE, Alexandria via LeMat-Bulk).

For the formation energy, the calculation gives 1.4373 eV/atom. The calculated volume comes out at 29.10 Å³/atom. The density of states at the Fermi level comes out at 1.719 states/eV per atom.

The structure belongs to space group P4/mmm (No. 123); the cell edges are 5.0813, 5.0813 and 5.6348 Å and the angles 90.00°, 90.00° and 90.00°. The asymmetric unit holds Sr at (0.0000, 0.0000, 0.0000), Ca at (0.0000, 0.0000, 0.5000), V at (0.5000, 0.5000, 0.5000) and Pd at (0.0000, 0.5000, 0.0000).

# ZnCu3Au3

A geometry-optimized ZnCu3Au3 structure (PBE, Alexandria via LeMat-Bulk).

The energy above the lowest structure with this stoichiometry comes out at 52.6 meV per atom. For the formation energy, the calculation gives -0.0268 eV/atom. The calculated volume comes out at 15.74 Å³/atom. The density of states at the Fermi level comes out at 0.191 states/eV per atom.

The structure belongs to space group P2_13 (No. 198); the cell edges are 7.6096, 7.6096 and 7.6096 Å and the angles 90.00°, 90.00° and 90.00°. The asymmetric unit holds Zn at (0.0353, 0.4647, 0.5353), Cu at (0.1379, 0.6379, 0.8621), Cu at (0.1574, 0.8426, 0.3426), Cu at (0.1681, 0.1681, 0.1681) and Au at (0.0333, 0.3095, 0.8713).

# Sr2ZnAgPd

A geometry-optimized Sr2ZnAgPd structure (PBE, Alexandria via LeMat-Bulk).

For the formation energy, the calculation gives -0.2255 eV/atom. The calculated volume comes out at 32.54 Å³/atom. The density of states at the Fermi level comes out at 0.799 states/eV per atom.

The structure belongs to space group P4/mmm (No. 123); the cell edges are 5.7961, 5.7961 and 4.8434 Å and the angles 90.00°, 90.00° and 90.00°. The asymmetric unit holds Sr at (0.0000, 0.5000, 0.0000), Zn at (0.0000, 0.0000, 0.5000), Ag at (0.5000, 0.5000, 0.5000) and Pd at (0.0000, 0.0000, 0.0000).